No. 1
DFT (PBE-GGA) results for crystalline Cs2ZrAgBr6 at its relaxed geometry.

Calculated values
* Fermi-level density of states: 6.4 states/eV/f.u.
* polymorph energy (0 for the lowest one): 0 meV per atom

POSCAR file:
```
Cs2ZrAgBr6
1.0
3.971 2.293 13.130
-3.971 2.293 13.130
0.000 -4.585 13.130
Cs Zr Ag Br
4 2 2 12
Direct
0.124 0.124 0.124
0.293 0.293 0.293
0.707 0.707 0.707
0.876 0.876 0.876
0.000 0.000 0.000
0.500 0.500 0.500
0.416 0.416 0.416
0.584 0.584 0.584
0.130 0.627 0.627
0.202 0.202 0.717
0.202 0.717 0.202
0.283 0.798 0.798
0.373 0.373 0.870
0.373 0.870 0.373
0.627 0.130 0.627
0.627 0.627 0.130
0.717 0.202 0.202
0.798 0.283 0.798
0.798 0.798 0.283
0.870 0.373 0.373
```

No. 2
DFT (PBE-GGA) results for crystalline Cs2ZrAgBr6 at its relaxed geometry.

Calculated values
* Fermi-level density of states: 6.9 states/eV/f.u.
* polymorph energy (0 for the lowest one): 13 meV per atom

POSCAR file:
```
Cs2ZrAgBr6
1.0
0.000 5.612 5.612
5.612 0.000 5.612
5.612 5.612 0.000
Cs Zr Ag Br
2 1 1 6
Direct
0.250 0.250 0.250
0.750 0.750 0.750
0.000 0.000 0.000
0.500 0.500 0.500
0.243 0.243 0.757
0.243 0.757 0.243
0.243 0.757 0.757
0.757 0.243 0.243
0.757 0.243 0.757
0.757 0.757 0.243
```

- What is the Fermi-level density of states in the second record?
  6.9 states/eV/f.u.

- Which of these has the lowest polymorph energy (0 for the lowest one)?
  number 1